# CaTlCdPt

An optimized crystal structure of CaTlCdPt (PBE-GGA, the Alexandria database).

The structure belongs to space group F-43m (No. 216); the cell edges are 7.121, 7.121 and 7.121 Å and the angles 90.00°, 90.00° and 90.00°. The inequivalent atoms are Ca at (0.000, 0.000, 0.000), Tl at (0.250, 0.250, 0.750), Cd at (0.000, 0.000, 0.500) and Pt at (0.250, 0.250, 0.250).

The calculation puts the energy relative to the elements at -0.359 eV per atom. For the total magnetization, the calculation gives 0.000 μB/atom. The value obtained for the volume is 22.57 Å³/atom.